No. 1
# Pm7CoCl12

A relaxed structure of Pm7CoCl12 (PBE-GGA, Alexandria via LeMat-Bulk).

```
20
Lattice="-6.3141 -5.2995 3.8978 -2.8255 1.5421 -8.5313 7.5669 -5.0458 -0.6536" Properties=species:S:1:pos:R:3 pbc="T T T"
Pm -1.4186 -8.6634 -2.6297
Pm -2.1508 -1.5489 0.2828
Pm 1.6263 -2.1098 0.0933
Pm -0.7863 -4.4016 -2.6435
Pm -3.1990 -6.6934 -5.3804
Pm 0.5781 -7.2543 -5.5699
Pm -0.1541 -0.1398 -2.6574
Co 7.5669 -5.0458 -0.6536
Cl -0.7703 -8.3889 0.3522
Cl -4.3137 -3.6558 0.8025
Cl -0.5524 -4.0512 0.0616
Cl -2.8883 -6.1473 -2.4699
Cl 3.5980 -4.4272 -0.2666
Cl 0.7733 -6.6503 -2.7214
Cl -2.3460 -2.1529 -2.5657
Cl -5.1707 -4.3760 -5.0205
Cl 1.3156 -2.6559 -2.8172
Cl -1.0203 -4.7520 -5.3487
Cl 2.7410 -5.1474 -6.0896
Cl -0.8024 -0.4143 -5.6393
```

## Properties
Uncorrected formation energy = -1885 meV per atom
Crystal system = trigonal
N(E_F) = 1.96 states/eV/f.u.

No. 2
# Pm2Pr2Co2Cl

A relaxed structure of Pm2Pr2Co2Cl (PBE-GGA, Alexandria via LeMat-Bulk).

```
7
Lattice="3.7775 0.0000 0.0000 1.8888 7.7764 0.0882 1.8888 1.9785 6.5719" Properties=species:S:1:pos:R:3 pbc="T T T"
Pm 3.7775 6.9876 5.6334
Pm 3.7775 2.7674 1.0267
Pr 3.7775 3.3876 4.4629
Pr 3.7775 6.3673 2.1972
Co 1.8888 4.4219 2.1553
Co 5.6663 5.3330 4.5048
Cl 0.0000 0.0000 0.0000
```

## Properties
Uncorrected formation energy = -451 meV per atom
Crystal system = monoclinic
N(E_F) = 6.66 states/eV/f.u.

No. 3
# PmPrCoCl

A relaxed structure of PmPrCoCl (PBE-GGA, Alexandria via LeMat-Bulk).

```
4
Lattice="-0.9696 -2.6696 2.7216 3.5673 -0.0851 -1.6555 2.1197 6.4480 4.2387" Properties=species:S:1:pos:R:3 pbc="T T T"
Pm 3.4344 0.0878 -0.9966
Pr 1.4678 2.9628 3.9673
Co 3.5175 4.7608 3.6184
Cl 1.1790 -0.2971 3.5086
```

## Properties
Uncorrected formation energy = -806 meV per atom
Crystal system = trigonal
N(E_F) = 1.22 states/eV/f.u.

No. 4
# Pm8Co3PtCl4

A relaxed structure of Pm8Co3PtCl4 (PBE-GGA, Alexandria via LeMat-Bulk).

```
16
Lattice="8.0058 0.0000 0.0000 0.0000 8.7600 0.5215 -4.0029 -3.9994 5.6608" Properties=species:S:1:pos:R:3 pbc="T T T"
Pm -1.9182 2.3056 5.8099
Pm 0.0000 4.2223 3.0962
Pm 0.0000 0.4884 3.1673
Pm 1.9182 2.3056 5.8099
Pm 2.0847 2.4551 0.3724
Pm 4.0029 4.2722 3.0150
Pm 4.0029 0.5384 3.0861
Pm 5.9211 2.4551 0.3724
Co 4.0029 4.3800 0.2607
Co 2.0015 2.3803 3.0911
Co -2.0015 2.3803 3.0911
Pt 0.0000 4.3800 0.2607
Cl 4.0029 0.0000 0.0000
Cl 2.0015 -1.9997 2.8304
Cl 0.0000 0.0000 0.0000
Cl -2.0015 -1.9997 2.8304
```

## Properties
Uncorrected formation energy = -963 meV per atom
Crystal system = monoclinic
N(E_F) = 7.06 states/eV/f.u.

Among the records above, which one has the lowest N(E_F)? PmPrCoCl

The lowest N(E_F) belongs to which entry? PmPrCoCl